(P)
Below is a relaxed structure of NaSmO, with properties calculated at the PBE level.

The structure in POSCAR format:
```
NaSmO
1.0
3.827 0.000 0.000
-1.914 3.315 0.000
0.000 0.000 6.660
Na O Sm
1 1 1
direct
0.000 0.000 0.998 Na
0.333 0.667 0.531 O
0.667 0.333 0.471 Sm
```

Total moment   0.045 μB/atom
Space-group type   P3m1

(Q)
Below is a relaxed structure of NaSmO, with properties calculated at the PBE level.

The structure in POSCAR format:
```
NaSmO
1.0
-2.882 2.877 -0.449
-0.159 -0.786 -4.018
-6.744 -6.513 1.542
Sm Na O
2 2 2
direct
0.500 0.000 0.113 Sm
0.000 0.500 0.887 Sm
0.500 0.000 0.598 Na
0.000 0.500 0.402 Na
0.500 0.500 0.000 O
0.000 0.000 0.000 O
```

Total moment   0.000 μB/atom
Space-group type   P4/nmm

Most stable to least stable, the ends of the list are (Q) and (P).

(P)
Below is a relaxed structure of Na3SnO, with properties calculated at the PBE level.

The structure in POSCAR format:
```
Na3SnO
1.0
-1.876 -4.342 -0.290
4.089 -1.867 1.500
-1.489 0.344 4.486
Na Sn O
3 1 1
direct
0.000 0.500 0.000 Na
0.000 0.000 0.500 Na
0.500 0.000 0.000 Na
0.500 0.500 0.500 Sn
0.000 0.000 0.000 O
```

Total moment   0.000 μB/atom
Space-group type   Pm-3m

(Q)
Below is a relaxed structure of Na3SnO, with properties calculated at the PBE level.

The structure in POSCAR format:
```
Na3SnO
1.0
5.889 0.000 0.000
0.000 5.889 0.000
0.000 0.000 5.889
Na Sn O
3 1 1
direct
0.000 0.500 0.000 Na
0.000 0.000 0.500 Na
0.500 0.000 0.000 Na
0.000 0.000 0.000 Sn
0.500 0.500 0.500 O
```

Total moment   0.311 μB/atom
Space-group type   Pm-3m

Most stable to least stable, the ends of the list are (P) and (Q).

(P)
Below is a relaxed structure of Na2SnO, with properties calculated at the PBE level.

The structure in POSCAR format:
```
Na2SnO
1.0
3.929 -2.922 0.110
1.998 -1.257 4.291
-0.411 -4.597 1.640
Na Sn O
2 1 1
direct
0.250 0.250 0.250 Na
0.750 0.750 0.750 Na
0.500 0.500 0.500 Sn
0.000 0.000 0.000 O
```

Total moment   0.000 μB/atom
Space-group type   Fm-3m

(Q)
Below is a relaxed structure of Na2SnO, with properties calculated at the PBE level.

The structure in POSCAR format:
```
Na2SnO
1.0
8.301 0.000 0.000
0.000 8.301 0.000
4.151 4.151 2.450
Na Sn O
4 2 2
direct
0.254 0.125 0.250 Na
0.496 0.625 0.250 Na
0.375 0.746 0.750 Na
0.875 0.504 0.750 Na
0.000 0.000 0.000 Sn
0.750 0.250 0.500 Sn
0.500 0.500 0.000 O
0.250 0.750 0.500 O
```

Total moment   0.000 μB/atom
Space-group type   I-42d

Most stable to least stable, the ends of the list are (Q) and (P).

(P)
Below is a relaxed structure of Na4SnO3, with properties calculated at the PBE level.

The structure in POSCAR format:
```
Na4SnO3
1.0
8.924 0.002 0.002
-6.988 5.549 0.002
0.672 1.928 5.594
Na Sn O
8 2 6
direct
0.544 0.476 0.748 Na
0.951 0.037 0.783 Na
0.684 0.401 0.307 Na
0.401 0.684 0.807 Na
0.739 0.245 0.750 Na
0.245 0.739 0.250 Na
0.037 0.951 0.283 Na
0.476 0.544 0.248 Na
0.845 0.132 0.251 Sn
0.132 0.845 0.751 Sn
0.628 0.952 0.028 O
0.952 0.628 0.528 O
0.688 0.821 0.487 O
0.821 0.688 0.987 O
0.171 0.297 0.040 O
0.297 0.171 0.540 O
```

Total moment   0.000 μB/atom
Space-group type   Cc

(Q)
Below is a relaxed structure of Na4SnO3, with properties calculated at the PBE level.

The structure in POSCAR format:
```
Na4SnO3
1.0
5.971 0.000 0.000
-2.986 5.023 -2.467
0.000 -0.153 9.213
Na Sn O
8 2 6
direct
0.262 0.217 0.945 Na
0.954 0.217 0.445 Na
0.517 0.405 0.628 Na
0.888 0.405 0.128 Na
0.058 0.619 0.826 Na
0.561 0.619 0.326 Na
0.033 0.744 0.523 Na
0.711 0.744 0.023 Na
0.662 0.979 0.701 Sn
0.317 0.979 0.201 Sn
0.655 0.307 0.875 O
0.652 0.307 0.375 O
0.294 0.641 0.632 O
0.346 0.641 0.132 O
0.847 0.868 0.820 O
0.021 0.868 0.320 O
```

Total moment   0.000 μB/atom
Space-group type   Cc

Most stable to least stable, the ends of the list are (P) and (Q).

(P)
Below is a relaxed structure of Na4Sn3O8, with properties calculated at the PBE level.

The structure in POSCAR format:
```
Na4Sn3O8
1.0
-5.987 -1.675 -1.648
-2.144 -5.930 1.264
-4.660 -0.715 5.106
Na Sn O
4 3 8
direct
0.000 0.000 0.000 Na
0.358 0.358 0.927 Na
0.500 0.500 0.500 Na
0.642 0.642 0.073 Na
0.500 0.000 0.500 Sn
0.000 0.000 0.500 Sn
0.000 0.500 0.500 Sn
0.231 0.231 0.307 O
0.204 0.744 0.309 O
0.744 0.744 0.309 O
0.744 0.204 0.309 O
0.769 0.769 0.693 O
0.796 0.256 0.691 O
0.256 0.256 0.691 O
0.256 0.796 0.691 O
```

Total moment   0.000 μB/atom
Space-group type   R-3m

(Q)
Below is a relaxed structure of Na4Sn3O8, with properties calculated at the PBE level.

The structure in POSCAR format:
```
Na4Sn3O8
1.0
-1.036 0.047 9.297
-8.411 -3.991 -0.917
3.962 -8.461 0.484
Na Sn O
16 12 32
direct
0.107 0.875 0.643 Na
0.125 0.143 0.393 Na
0.125 0.375 0.625 Na
0.143 0.393 0.125 Na
0.357 0.607 0.625 Na
0.375 0.625 0.125 Na
0.375 0.857 0.893 Na
0.393 0.125 0.143 Na
0.607 0.625 0.357 Na
0.625 0.125 0.375 Na
0.625 0.357 0.607 Na
0.643 0.107 0.875 Na
0.857 0.893 0.375 Na
0.875 0.643 0.107 Na
0.875 0.875 0.875 Na
0.893 0.375 0.857 Na
0.117 0.633 0.375 Sn
0.125 0.883 0.133 Sn
0.133 0.125 0.883 Sn
0.367 0.875 0.383 Sn
0.375 0.117 0.633 Sn
0.383 0.367 0.875 Sn
0.617 0.867 0.625 Sn
0.625 0.617 0.867 Sn
0.633 0.375 0.117 Sn
0.867 0.625 0.617 Sn
0.875 0.383 0.367 Sn
0.883 0.133 0.125 Sn
0.091 0.634 0.596 O
0.096 0.409 0.366 O
0.116 0.659 0.154 O
0.120 0.120 0.120 O
0.130 0.870 0.370 O
0.134 0.904 0.909 O
0.154 0.116 0.659 O
0.159 0.346 0.884 O
0.341 0.654 0.384 O
0.346 0.884 0.159 O
0.366 0.096 0.409 O
0.370 0.130 0.870 O
0.380 0.880 0.620 O
0.384 0.341 0.654 O
0.404 0.591 0.866 O
0.409 0.366 0.096 O
0.591 0.866 0.404 O
0.596 0.091 0.634 O
0.616 0.841 0.846 O
0.620 0.380 0.880 O
0.630 0.630 0.630 O
0.634 0.596 0.091 O
0.654 0.384 0.341 O
0.659 0.154 0.116 O
0.841 0.846 0.616 O
0.846 0.616 0.841 O
0.866 0.404 0.591 O
0.870 0.370 0.130 O
0.880 0.620 0.380 O
0.884 0.159 0.346 O
0.904 0.909 0.134 O
0.909 0.134 0.904 O
```

Total moment   0.000 μB/atom
Space-group type   P4_132

Most stable to least stable, the ends of the list are (Q) and (P).

(P)
Below is a relaxed structure of NaSn2O4, with properties calculated at the PBE level.

The structure in POSCAR format:
```
NaSn2O4
1.0
6.679 0.000 0.000
3.339 5.784 0.000
3.339 1.928 5.453
Na Sn O
2 4 8
direct
0.750 0.750 0.750 Na
0.500 0.500 0.500 Na
0.125 0.625 0.125 Sn
0.625 0.125 0.125 Sn
0.125 0.125 0.125 Sn
0.125 0.125 0.625 Sn
0.894 0.894 0.894 O
0.356 0.356 0.931 O
0.319 0.894 0.894 O
0.894 0.319 0.894 O
0.356 0.356 0.356 O
0.894 0.894 0.319 O
0.356 0.931 0.356 O
0.931 0.356 0.356 O
```

Total moment   0.000 μB/atom
Space-group type   Fd-3m

(Q)
Below is a relaxed structure of NaSn2O4, with properties calculated at the PBE level.

The structure in POSCAR format:
```
NaSn2O4
1.0
3.302 0.000 0.000
0.000 5.725 -0.230
0.000 -0.053 6.088
Na Sn O
1 2 4
direct
0.000 0.000 0.500 Na
0.500 0.500 0.000 Sn
0.000 0.000 0.000 Sn
0.000 0.692 0.173 O
0.500 0.155 0.190 O
0.500 0.845 0.810 O
0.000 0.308 0.827 O
```

Total moment   0.000 μB/atom
Space-group type   P2/m

Most stable to least stable, the ends of the list are (P) and (Q).

(P)
Below is a relaxed structure of NaTc2O6, with properties calculated at the PBE level.

The structure in POSCAR format:
```
NaTc2O6
1.0
5.306 0.000 0.000
-2.653 4.595 0.000
0.000 0.000 5.037
Na Tc O
1 2 6
direct
0.000 0.000 0.000 Na
0.333 0.667 0.500 Tc
0.667 0.333 0.500 Tc
0.613 0.000 0.295 O
0.387 0.387 0.295 O
0.000 0.613 0.295 O
0.613 0.613 0.705 O
0.000 0.387 0.705 O
0.387 0.000 0.705 O
```

Total moment   0.059 μB/atom
Space-group type   P-31m

(Q)
Below is a relaxed structure of NaTc2O6, with properties calculated at the PBE level.

The structure in POSCAR format:
```
NaTc2O6
1.0
-4.042 4.306 -0.415
2.065 1.372 -5.874
-4.649 -4.284 0.825
Na Tc O
1 2 6
direct
0.000 0.000 0.000 Na
0.713 0.333 0.667 Tc
0.287 0.667 0.333 Tc
0.772 0.639 0.820 O
0.772 0.180 0.820 O
0.772 0.180 0.361 O
0.228 0.361 0.180 O
0.228 0.820 0.180 O
0.228 0.820 0.639 O
```

Total moment   0.112 μB/atom
Space-group type   P-3m1

Most stable to least stable, the ends of the list are (P) and (Q).

(P)
Below is a relaxed structure of NaTcO2, with properties calculated at the PBE level.

The structure in POSCAR format:
```
NaTcO2
1.0
4.743 0.000 0.000
0.000 4.743 0.000
2.371 2.371 5.269
Na Tc O
2 2 4
direct
0.500 0.500 0.000 Na
0.250 0.750 0.500 Na
0.000 0.000 0.000 Tc
0.750 0.250 0.500 Tc
0.703 0.125 0.250 O
0.047 0.625 0.250 O
0.375 0.297 0.750 O
0.875 0.953 0.750 O
```

Total moment   0.000 μB/atom
Space-group type   I-42d

(Q)
Below is a relaxed structure of NaTcO2, with properties calculated at the PBE level.

The structure in POSCAR format:
```
NaTcO2
1.0
2.713 0.000 0.000
0.000 2.713 0.000
0.000 0.000 5.744
Na Tc O
1 1 2
direct
0.500 0.500 0.500 Na
0.500 0.500 0.000 Tc
0.000 0.000 0.790 O
0.000 0.000 0.210 O
```

Total moment   0.303 μB/atom
Space-group type   P4/mmm

Most stable to least stable, the ends of the list are (P) and (Q).

(P)
Below is a relaxed structure of NaTcO2, with properties calculated at the PBE level.

The structure in POSCAR format:
```
NaTcO2
1.0
1.752 0.000 6.481
-0.876 1.517 6.481
-0.876 -1.517 6.481
Na Tc O
1 1 2
direct
0.500 0.500 0.500 Na
0.000 0.000 0.000 Tc
0.909 0.909 0.909 O
0.091 0.091 0.091 O
```

Total moment   0.000 μB/atom
Space-group type   R-3m

(Q)
Below is a relaxed structure of NaTcO2, with properties calculated at the PBE level.

The structure in POSCAR format:
```
NaTcO2
1.0
0.000 2.667 2.667
2.667 0.000 2.667
2.667 2.667 0.000
Na Tc O
1 1 2
direct
0.000 0.000 0.000 Na
0.500 0.500 0.500 Tc
0.250 0.250 0.250 O
0.750 0.750 0.750 O
```

Total moment   0.000 μB/atom
Space-group type   Fm-3m

Most stable to least stable, the ends of the list are (P) and (Q).

(P)
Below is a relaxed structure of Na3TcO, with properties calculated at the PBE level.

The structure in POSCAR format:
```
Na3TcO
1.0
-4.364 -1.125 3.543
3.713 -1.584 4.070
0.181 5.393 1.935
Na Tc O
3 1 1
direct
0.000 0.500 0.000 Na
0.000 0.000 0.500 Na
0.500 0.000 0.000 Na
0.000 0.000 0.000 Tc
0.500 0.500 0.500 O
```

Total moment   0.800 μB/atom
Space-group type   Pm-3m

(Q)
Below is a relaxed structure of Na3TcO, with properties calculated at the PBE level.

The structure in POSCAR format:
```
Na3TcO
1.0
-4.467 -0.128 1.419
-1.334 -1.260 -4.315
0.499 -4.515 1.164
Na Tc O
3 1 1
direct
0.000 0.500 0.000 Na
0.000 0.000 0.500 Na
0.500 0.000 0.000 Na
0.500 0.500 0.500 Tc
0.000 0.000 0.000 O
```

Total moment   0.800 μB/atom
Space-group type   Pm-3m

Most stable to least stable, the ends of the list are (Q) and (P).

(P)
Below is a relaxed structure of NaTc2O8, with properties calculated at the PBE level.

The structure in POSCAR format:
```
NaTc2O8
1.0
6.436 0.000 0.000
-3.218 5.203 -1.961
0.000 0.009 6.235
Na Tc O
1 2 8
direct
0.000 0.000 0.000 Na
0.193 0.387 0.693 Tc
0.807 0.613 0.307 Tc
0.632 0.702 0.187 O
0.929 0.298 0.813 O
0.113 0.227 0.395 O
0.887 0.773 0.605 O
0.071 0.702 0.187 O
0.368 0.298 0.813 O
0.357 0.714 0.752 O
0.643 0.286 0.248 O
```

Total moment   0.095 μB/atom
Space-group type   C2/m

(Q)
Below is a relaxed structure of NaTc2O8, with properties calculated at the PBE level.

The structure in POSCAR format:
```
NaTc2O8
1.0
4.707 0.000 0.000
0.000 4.707 0.000
0.000 0.000 6.063
Na Tc O
1 2 8
direct
0.500 0.500 0.500 Na
0.500 0.000 0.000 Tc
0.000 0.500 0.000 Tc
0.749 0.749 0.193 O
0.749 0.251 0.807 O
0.749 0.749 0.807 O
0.749 0.251 0.193 O
0.251 0.749 0.193 O
0.251 0.749 0.807 O
0.251 0.251 0.193 O
0.251 0.251 0.807 O
```

Total moment   0.301 μB/atom
Space-group type   P4/mmm

Most stable to least stable, the ends of the list are (P) and (Q).